DFT (GGA-PBE) results for a geometry-optimized PaGa3Pt2 structure.

a b c (Å): 16.773 4.176 9.838
angles (deg): 90.00 106.69 90.00
Space group C2/m (No. 12)
Unique sites:
Pa 0.000 0.000 0.000 [2 per cell]
Pa 0.159 0.000 0.707 [4 per cell]
Ga 0.000 0.500 0.500 [2 per cell]
Ga 0.038 0.000 0.363 [4 per cell]
Ga 0.136 0.500 0.196 [4 per cell]
Ga 0.161 0.500 0.945 [4 per cell]
Ga 0.212 0.000 0.381 [4 per cell]
Pt 0.013 0.500 0.790 [4 per cell]
Pt 0.142 0.500 0.466 [4 per cell]
Pt 0.201 0.000 0.114 [4 per cell]

Properties
DOS at the Fermi energy	24.30	states/eV per cell
volume	18.33	A^3/atom
density	12.53	g/cm3
VASP energy	-5.7957	eV/atom